The following is a DFT calculation (PBEsol) of a relaxed AlTl3Tc crystal.

Cell: 5.229 5.229 5.229 Å, 90.00 90.00 90.00°
Space group Pm-3m (No. 221)
Inequivalent atoms, fractional coordinates:
Al (0.000, 0.000, 0.000) [1 per cell]
Tl (0.000, 0.500, 0.500) [3 per cell]
Tc (0.500, 0.500, 0.500) [1 per cell]

Summary:
E_form = 0.708 eV per atom
ρ = 8.58 g/cm³
Energy relative to the lowest polymorph listed for this composition = 0.0000 eV/atom